1.
# SrLi2Ca5

SrLi2Ca5 after structural relaxation (PBE-GGA, Alexandria via LeMat-Bulk).

abc: 3.8873 13.5623 23.4469
angles: 90.00 90.00 90.00
With the nearest neighbours (Å) after each atom.
Space group Cmcm (No. 63)
Unique sites:
Sr: 0.0000 0.2171 0.2500 (multiplicity 4)  4 Li 3.45, 5 Ca 3.52-3.79
Li: 0.0000 0.1672 0.6484 (multiplicity 8)  5 Ca 3.36-3.64, 2 Sr 3.45
Ca: 0.0000 0.0900 0.1083 (multiplicity 8)  3 Li 3.61-3.94, 1 Sr 3.74, 6 Ca 3.89-4.03
Ca: 0.0000 0.3644 0.0330 (multiplicity 8)  2 Li 3.36
Ca: 0.0000 0.4770 0.2500 (multiplicity 4)  3 Sr 3.52-3.79, 4 Li 3.64, 2 Ca 3.89

Summary:
Calculated formation energy   0.65 eV/f.u.


2.
# K2Ru3O8

K2Ru3O8 after structural relaxation (PBE-GGA, Alexandria via LeMat-Bulk).

abc: 12.5621 6.3497 5.3456
angles: 90.00 109.60 90.00
With the nearest neighbours (Å) after each atom.
Space group C2/m (No. 12)
Unique sites:
K: 0.2224 0.0000 0.1773 (multiplicity 4)  6 O 2.69-2.89
Ru: 0.0000 0.2393 0.5000 (multiplicity 4)  6 O 1.91-2.14
Ru: 0.0000 0.5000 0.0000 (multiplicity 2)  6 O 1.96-2.01
O: 0.0814 0.2883 0.8679 (multiplicity 8)  2 Ru 1.91-1.96
O: 0.0838 0.5000 0.3939 (multiplicity 4)  3 Ru 2.01-2.14
O: 0.0965 0.0000 0.5006 (multiplicity 4)  2 Ru 1.94

Summary:
Uncorrected formation energy   -1145 meV/atom


3.
# Ba4HgI8

Ba4HgI8 after structural relaxation (PBE-GGA, Alexandria via LeMat-Bulk).

abc: 24.6166 5.2511 15.8722
angles: 90.00 129.99 90.00
With the nearest neighbours (Å) after each atom.
Space group Cm (No. 8)
Unique sites:
Ba: 0.0000 0.0000 0.0000 (multiplicity 2)  6 I 3.48-3.49
Ba: 0.0060 0.5000 0.3624 (multiplicity 2)  6 I 3.48-3.49
Ba: 0.2943 0.5000 0.2812 (multiplicity 2)  6 I 3.48-3.50
Ba: 0.3005 0.0000 0.6439 (multiplicity 2)  6 I 3.48-3.49
Hg: 0.1861 0.5000 0.8596 (multiplicity 2)  4 I 4.36-4.57
I: 0.0342 0.0000 0.2502 (multiplicity 2)  3 Ba 3.48-3.49
I: 0.1126 0.5000 0.0564 (multiplicity 2)  3 Ba 3.49-3.50
I: 0.1877 0.5000 0.5867 (multiplicity 2)  3 Ba 3.49
I: 0.2663 0.0000 0.3935 (multiplicity 2)  3 Ba 3.48-3.49
I: 0.3216 0.0000 0.1672 (multiplicity 2)  3 Ba 3.48-3.49
I: 0.3825 0.0000 0.9220 (multiplicity 2)  3 Ba 3.48-3.49
I: 0.4178 0.5000 0.7218 (multiplicity 2)  3 Ba 3.48-3.49
I: 0.4789 0.5000 0.4766 (multiplicity 2)  3 Ba 3.49

Summary:
Uncorrected formation energy   -1612 meV/atom


4.
# NbTeRu

NbTeRu after structural relaxation (PBE-GGA, Alexandria via LeMat-Bulk).

abc: 7.7210 4.4554 8.7602
angles: 90.00 106.62 90.00
With the nearest neighbours (Å) after each atom.
Space group C2/m (No. 12)
Unique sites:
Nb: 0.2032 0.0000 0.1126 (multiplicity 4)  4 Ru 2.47-2.64
Te: 0.0987 0.5000 0.3041 (multiplicity 4)  3 Ru 2.77, 3 Nb 3.03
Ru: 0.1076 0.0000 0.8181 (multiplicity 4)  4 Nb 2.47-2.64

Summary:
Uncorrected formation energy   -268 meV/atom
Offset from the most stable computed form   0 meV per atom


no.,E_tot (eV/atom)
1,-1.8587
2,-6.5054
3,-3.1806
4,-7.7637